# 1
## Li3NiB2O6 (GGA-PBEsol)

Data for a relaxed structure of Li3NiB2O6.

Unit cell a=4.927 b=6.200 c=7.909 alpha=74.89 beta=89.24 gamma=89.53
Sites, in units of the cell vectors:
Li  0.177  0.896  0.929
Li  0.322  0.041  0.262
Li  0.327  0.736  0.610
Li  0.673  0.264  0.390
Li  0.678  0.959  0.738
Li  0.823  0.104  0.071
Ni  0.158  0.555  0.277
Ni  0.842  0.445  0.723
B  0.161  0.169  0.574
B  0.332  0.323  0.909
B  0.668  0.677  0.091
B  0.839  0.831  0.426
O  0.112  0.778  0.398
O  0.201  0.480  0.777
O  0.204  0.161  0.030
O  0.280  0.279  0.413
O  0.296  0.005  0.687
O  0.384  0.666  0.091
O  0.616  0.334  0.909
O  0.704  0.995  0.313
O  0.720  0.721  0.587
O  0.796  0.839  0.970
O  0.799  0.520  0.223
O  0.888  0.222  0.602

## Properties
crystal system: triclinic
SG: No. 2
energy relative to the elements, uncorrected: -1.938 eV/atom

---

# 2
## KAgCl2 (GGA-PBEsol)

Data for a relaxed structure of KAgCl2.

Unit cell a=4.081 b=4.081 c=6.025 alpha=90.00 beta=90.00 gamma=90.00
Sites, in units of the cell vectors:
K  0.000  0.000  0.371
Ag  0.500  0.500  0.839
Cl  0.000  0.000  0.878
Cl  0.500  0.500  0.412

## Properties
crystal system: tetragonal
SG: No. 99
energy relative to the elements, uncorrected: -1.070 eV/atom

---

# 3
## HfSi3Br (GGA-PBEsol)

Data for a relaxed structure of HfSi3Br.

Unit cell a=5.106 b=5.106 c=5.106 alpha=90.00 beta=90.00 gamma=90.00
Sites, in units of the cell vectors:
Si  0.000  0.500  0.000
Si  0.000  0.000  0.500
Si  0.500  0.000  0.000
Hf  0.000  0.000  0.000
Br  0.500  0.500  0.500

## Properties
crystal system: cubic
SG: No. 221
energy relative to the elements, uncorrected: 0.860 eV/atom
D(E_F): 8.5 states/eV per cell

---

# 4
## CoP2Rh (GGA-PBEsol)

Data for a relaxed structure of CoP2Rh.

Unit cell a=2.855 b=2.855 c=5.763 alpha=90.00 beta=90.00 gamma=90.00
Sites, in units of the cell vectors:
Co  0.500  0.500  0.500
P  0.000  0.000  0.730
P  0.000  0.000  0.270
Rh  0.500  0.500  0.000

## Properties
crystal system: tetragonal
SG: No. 123
D(E_F): 4.0 states/eV per cell
formation energy from the elements: -0.205 eV per atom
excess energy over the best structure of this formula in the dataset: 94 meV per atom

---

# 5
## Ba2CaTe2 (GGA-PBEsol)

Data for a relaxed structure of Ba2CaTe2.

Unit cell a=6.829 b=7.355 c=6.829 alpha=117.66 beta=90.00 gamma=117.66
Sites, in units of the cell vectors:
Ca  0.000  0.000  0.000
Te  0.272  0.545  0.272
Te  0.728  0.455  0.728
Ba  0.250  0.500  0.750
Ba  0.750  0.500  0.250

## Properties
crystal system: tetragonal
SG: No. 139
energy relative to the elements, uncorrected: -0.992 eV/atom
D(E_F): 3.3 states/eV per cell
excess energy over the best structure of this formula in the dataset: 373 meV per atom

---

# 6
## TaIrW2 (GGA-PBEsol)

Data for a relaxed structure of TaIrW2.

Unit cell a=2.738 b=4.505 c=5.172 alpha=90.00 beta=100.45 gamma=90.00
Sites, in units of the cell vectors:
Ir  0.500  0.500  0.000
Ta  0.000  0.500  0.500
W  0.762  0.000  0.748
W  0.238  0.000  0.252

## Properties
crystal system: monoclinic
SG: No. 10
D(E_F): 3.0 states/eV per cell
formation energy from the elements: -0.029 eV per atom
excess energy over the best structure of this formula in the dataset: 0 meV per atom